{"formula": "Sr2Cu", "functional": "PBEsol", "state": "optimized geometry", "energy_ev_per_cell": -7.8, "total_magnetization_mub_per_cell": 0.00, "dos_ef_per_ev_atom": 1.0116, "lattice": [[-2.996, 2.039, 1.090], [-2.190, -1.932, -2.407], [1.240, -4.691, 5.612]], "species": ["Sr", "Sr", "Cu"], "frac_coords": [[0.129, 0.129, 0.258], [0.871, 0.871, 0.742], [0.500, 0.500, 0.000]]}